{"formula": "La5GaGe2", "functional": "PBE-GGA", "state": "relaxed", "cell": [[-4.059, 4.059, 7.102], [4.059, -4.059, 7.102], [4.059, 4.059, -7.102]], "species": ["La", "La", "La", "La", "La", "La", "La", "La", "La", "La", "Ga", "Ga", "Ge", "Ge", "Ge", "Ge"], "fractional_positions": [[0.000, 0.000, 0.000], [0.030, 0.530, 0.854], [0.176, 0.030, 0.500], [0.324, 0.824, 0.854], [0.470, 0.324, 0.500], [0.500, 0.500, 0.000], [0.530, 0.676, 0.500], [0.676, 0.176, 0.146], [0.824, 0.970, 0.500], [0.970, 0.470, 0.146], [0.250, 0.250, 0.000], [0.750, 0.750, 0.000], [0.120, 0.380, 0.500], [0.380, 0.880, 0.259], [0.620, 0.120, 0.741], [0.880, 0.620, 0.500]], "formation_enthalpy_0k_kj_per_mol_fu": -489, "vol_a3_per_cell": 468, "total_magnetization_mub_per_cell": 0.000}

=====

{"formula": "LaGa2Ge", "functional": "PBE-GGA", "state": "relaxed", "cell": [[4.386, 0.000, 0.000], [0.000, 4.386, 0.000], [0.000, 0.000, 4.607]], "species": ["La", "Ga", "Ga", "Ge"], "fractional_positions": [[0.000, 0.000, 0.000], [0.000, 0.500, 0.500], [0.500, 0.000, 0.500], [0.500, 0.500, 0.000]], "formation_enthalpy_0k_kj_per_mol_fu": -195, "vol_a3_per_cell": 89, "total_magnetization_mub_per_cell": 0.000, "e_above_lowest_polymorph_mev_per_atom": 0.0}

=====

{"formula": "La2Ga2Ge", "functional": "PBE-GGA", "state": "relaxed", "cell": [[5.736, -2.161, 0.000], [5.736, 2.161, 0.000], [-4.807, 0.000, 10.287]], "species": ["La", "La", "La", "La", "Ga", "Ga", "Ga", "Ga", "Ge", "Ge"], "fractional_positions": [[0.098, 0.098, 0.403], [0.292, 0.292, 0.859], [0.708, 0.708, 0.141], [0.902, 0.902, 0.597], [0.011, 0.011, 0.897], [0.367, 0.367, 0.379], [0.633, 0.633, 0.621], [0.989, 0.989, 0.103], [0.428, 0.428, 0.183], [0.572, 0.572, 0.817]], "formation_enthalpy_0k_kj_per_mol_fu": -338, "vol_a3_per_cell": 255, "total_magnetization_mub_per_cell": 0.000, "e_above_lowest_polymorph_mev_per_atom": 0.0}